First-principles (GGA-PBE) data for an optimized crystal structure of Li2ScBiW, as listed in the Alexandria database.

Output
formation enthalpy at 0 K	1.09	eV per atom

abc: 4.8979 5.6150 4.8979
angles: 90.00 90.00 90.00
Last column: magnetic moment on the atom in μB.
Element x y z (fractional)
Li  0.0000  0.0000  0.5000  0.01
Li  0.5000  0.0000  0.0000  0.01
Bi  0.0000  0.0000  0.0000  0.05
Sc  0.0000  0.5000  0.0000  -0.12
W  0.5000  0.5000  0.5000  2.96